# LiDySbRh, optimized geometry, DFT PBE
data_LiDySbRh
_chemical_formula_sum 'Li1 Dy1 Sb1 Rh1'
_cell_length_a 4.6981
_cell_length_b 4.6981
_cell_length_c 4.6981
_cell_angle_alpha 60.00
_cell_angle_beta 60.00
_cell_angle_gamma 60.00
_space_group_name_H-M_alt 'P 1'
_space_group_IT_number 1
_space_group_name_Hall 'P 1'
loop_
_atom_site_label
_atom_site_fract_x
_atom_site_fract_y
_atom_site_fract_z
Sb1 0.7500 0.7500 0.7500
Li1 0.0000 0.0000 0.0000
Rh1 0.5000 0.5000 0.5000
Dy1 0.2500 0.2500 0.2500
# **Total magnetic moment**: 0.0000 μB per atom
# **Formation energy without anion corrections**: -0.85 eV/atom